Density functional theory data (PBE-GGA) for Fe2CuRh6 after structural relaxation.

a b c (Å): 7.5753 7.5753 7.5753
angles (deg): 159.73 122.93 61.21
Atoms (fractional coordinates):
Fe 0.1709 0.0000 0.1709
Fe 0.8291 0.0000 0.8291
Cu 0.5000 0.5000 0.0000
Rh 0.1446 0.6446 0.5000
Rh 0.1530 0.8306 0.3224
Rh 0.4918 0.1694 0.3224
Rh 0.5082 0.8306 0.6776
Rh 0.8470 0.1694 0.6776
Rh 0.8554 0.3554 0.5000

Total moment (Bohr magnetons per cell): 6.5
Calculated formation energy (eV per atom): 0.126
Calculated volume (Å³ per cell): 126
Symmetry: No. 71